Record 1
{"formula": "BeHgCl2", "functional": "meta-GGA SCAN", "state": "PBEsol geometry", "de_polymorph_mev_per_atom": 0, "e_form_raw_kj_per_mol_fu": -435, "dos_ef_per_ev_cell": 0.0, "vol_a3_per_atom": 24.19, "crystal_system": "monoclinic", "final_energy_ev_per_atom": -23.25, "lattice_angstrom": [[-0.4999, 1.2232, 2.9968], [0.0313, -3.0342, 1.2437], [8.8874, 2.0798, 0.6335]], "species": ["Be", "Hg", "Cl", "Cl"], "fractional_positions": [[0.5000, 0.1901, 0.0049], [0.0000, 0.4294, 0.4853], [0.0000, 0.1249, 0.8709], [0.5000, 0.7556, 0.1388]]}

=====

Record 2
{"formula": "Be2HgCl", "functional": "meta-GGA SCAN", "state": "PBEsol geometry", "de_polymorph_mev_per_atom": 0, "e_form_raw_kj_per_mol_fu": 139, "dos_ef_per_ev_cell": 1.4, "vol_a3_per_atom": 16.34, "crystal_system": "orthorhombic", "final_energy_ev_per_atom": -20.85, "lattice_angstrom": [[2.9344, 0.0000, 0.0000], [1.4672, 4.7915, 0.1475], [1.4672, 1.0328, 4.6812]], "species": ["Be", "Be", "Hg", "Cl"], "fractional_positions": [[0.2631, 0.7369, 0.7369], [0.7369, 0.2631, 0.2631], [0.5000, 0.0000, 0.0000], [0.0000, 0.5000, 0.5000]]}

=====

Record 3
{"formula": "BeHgCl2", "functional": "meta-GGA SCAN", "state": "PBEsol geometry", "de_polymorph_mev_per_atom": 270, "e_form_raw_kj_per_mol_fu": -331, "vol_a3_per_atom": 24.95, "crystal_system": "orthorhombic", "final_energy_ev_per_atom": -22.98, "lattice_angstrom": [[3.0517, 0.0000, 0.0000], [-1.5259, 3.3184, 0.0000], [0.0000, 0.0000, 9.8563]], "species": ["Be", "Hg", "Cl", "Cl"], "fractional_positions": [[0.5000, 0.0000, 0.0000], [0.5000, 0.0000, 0.5000], [0.0000, 0.0000, 0.8532], [0.0000, 0.0000, 0.1467]]}